# NaHfTlBr6

A relaxed structure of NaHfTlBr6 (PBE, Alexandria via LeMat-Bulk).

## Properties
- raw formation energy (kcal/mol of atoms) = -30.83
- E (eV per atom) = -3.97
- total magnetic moment (μB/cell) = 0.0

Cell lengths 7.4296, 7.4296, 13.8391 Å; angles 90.00, 90.00, 120.00 degrees
With the nearest neighbours (Å) after each atom.
Fractional coordinates of all 18 atoms:
Na (0.3333, 0.6667, 0.2500)  6 Br 2.99
Na (0.6667, 0.3333, 0.7500)  6 Br 2.99
Hf (0.3333, 0.6667, 0.7500)  6 Br 2.63
Hf (0.6667, 0.3333, 0.2500)  6 Br 2.63
Tl (0.0000, 0.0000, 0.0000)  6 Br 3.36
Tl (0.0000, 0.0000, 0.5000)  6 Br 3.36
Br (0.0368, 0.3879, 0.6394)  1 Hf 2.63
Br (0.0368, 0.6489, 0.8606)  1 Hf 2.63
Br (0.3511, 0.3879, 0.8606)  1 Hf 2.63
Br (0.3511, 0.9632, 0.6394)  1 Hf 2.63
Br (0.3879, 0.0368, 0.1394)  1 Hf 2.63
Br (0.3879, 0.3511, 0.3606)  1 Hf 2.63
Br (0.6121, 0.6489, 0.6394)  1 Hf 2.63
Br (0.6121, 0.9632, 0.8606)  1 Hf 2.63
Br (0.6489, 0.0368, 0.3606)  1 Hf 2.63
Br (0.6489, 0.6121, 0.1394)  1 Hf 2.63
Br (0.9632, 0.3511, 0.1394)  1 Hf 2.63
Br (0.9632, 0.6121, 0.3606)  1 Hf 2.63

# MgSiW2

A relaxed structure of MgSiW2 (PBE, Alexandria via LeMat-Bulk).

## Properties
- raw formation energy (kcal/mol of atoms) = 16.37
- E (eV per atom) = -7.52
- total magnetic moment (μB/cell) = 0.0

Cell lengths 7.3205, 7.3205, 5.1705 Å; angles 90.00, 90.00, 90.00 degrees
With the nearest neighbours (Å) after each atom.
Fractional coordinates of all 16 atoms:
Mg (0.0000, 0.0000, 0.0000)  2 Si 2.59
Mg (0.0000, 0.5000, 0.2500)  2 Si 2.59
Mg (0.5000, 0.0000, 0.7500)  2 Si 2.59
Mg (0.5000, 0.5000, 0.5000)  2 Si 2.59
Si (0.0000, 0.0000, 0.5000)  4 W 2.44, 2 Mg 2.59
Si (0.0000, 0.5000, 0.7500)  4 W 2.44, 2 Mg 2.59
Si (0.5000, 0.0000, 0.2500)  4 W 2.44, 2 Mg 2.59
Si (0.5000, 0.5000, 0.0000)  4 W 2.44, 2 Mg 2.59
W (0.2026, 0.2500, 0.6250)  2 Si 2.44, 2 W 2.68
W (0.2500, 0.7026, 0.8750)  2 Si 2.44, 2 W 2.68
W (0.2500, 0.7974, 0.3750)  2 Si 2.44, 2 W 2.68
W (0.2974, 0.2500, 0.1250)  2 Si 2.44, 2 W 2.68
W (0.7026, 0.7500, 0.1250)  2 Si 2.44, 2 W 2.68
W (0.7500, 0.2026, 0.3750)  2 Si 2.44, 2 W 2.68
W (0.7500, 0.2974, 0.8750)  2 Si 2.44, 2 W 2.68
W (0.7974, 0.7500, 0.6250)  2 Si 2.44, 2 W 2.68

# LaTi2Pd2

A relaxed structure of LaTi2Pd2 (PBE, Alexandria via LeMat-Bulk).

## Properties
- energy above the most stable polymorph in this dataset (eV/f.u.) = 0.89
- E (eV per atom) = -6.49
- calculated formation energy (eV/atom) = -0.268
- total magnetic moment (μB/cell) = 0.0

Cell lengths 7.8738, 7.8738, 3.1504 Å; angles 90.00, 90.00, 90.00 degrees
With the nearest neighbours (Å) after each atom.
Fractional coordinates of all 10 atoms:
La (0.0000, 0.0000, 0.0000)  4 Pd 3.11, 2 La 3.15, 8 Ti 3.36
La (0.5000, 0.5000, 0.0000)  4 Pd 3.11, 2 La 3.15, 8 Ti 3.36
Ti (0.1569, 0.3431, 0.5000)  6 Pd 2.74-2.89
Ti (0.3431, 0.8431, 0.5000)  6 Pd 2.74-2.89
Ti (0.6569, 0.1569, 0.5000)  6 Pd 2.74-2.89
Ti (0.8431, 0.6569, 0.5000)  6 Pd 2.74-2.89
Pd (0.1256, 0.6256, 0.0000)  6 Ti 2.74-2.89, 1 Pd 2.80
Pd (0.3744, 0.1256, 0.0000)  6 Ti 2.74-2.89, 1 Pd 2.80
Pd (0.6256, 0.8744, 0.0000)  6 Ti 2.74-2.89, 1 Pd 2.80
Pd (0.8744, 0.3744, 0.0000)  6 Ti 2.74-2.89, 1 Pd 2.80

# ZrPdOF2

A relaxed structure of ZrPdOF2 (PBE, Alexandria via LeMat-Bulk).

## Properties
- energy above the most stable polymorph in this dataset (eV/f.u.) = 0.00
- raw formation energy (kcal/mol of atoms) = -49.63
- E (eV per atom) = -6.64
- total magnetic moment (μB/cell) = 0.0

Cell lengths 4.2639, 4.2639, 4.0787 Å; angles 90.00, 90.00, 90.00 degrees
With the nearest neighbours (Å) after each atom.
Fractional coordinates of all 5 atoms:
Zr (0.0000, 0.0000, 0.0000)  2 O 2.04, 4 F 2.13
Pd (0.5000, 0.5000, 0.5000)  8 F 2.95, 4 O 3.02
O (0.0000, 0.0000, 0.5000)  2 Zr 2.04
F (0.0000, 0.5000, 0.0000)  2 Zr 2.13
F (0.5000, 0.0000, 0.0000)  2 Zr 2.13

# Rb2HoTiO4

A relaxed structure of Rb2HoTiO4 (PBE, Alexandria via LeMat-Bulk).

## Properties
- raw formation energy (kcal/mol of atoms) = -52.11
- E (eV per atom) = -6.54
- total magnetic moment (μB/cell) = 0.0

Cell lengths 13.3498, 11.9528, 7.2704 Å; angles 84.22, 62.97, 32.81 degrees
With the nearest neighbours (Å) after each atom.
Fractional coordinates of all 16 atoms:
Rb (0.0573, 0.0573, 0.6927)  4 O 3.34-3.63
Rb (0.3073, 0.3073, 0.9427)  4 O 3.34-3.63
Rb (0.6927, 0.6927, 0.0573)  4 O 3.34-3.63
Rb (0.9427, 0.9427, 0.3073)  4 O 3.34-3.63
Ho (0.1250, 0.1250, 0.1250)  4 O 2.18
Ho (0.8750, 0.8750, 0.8750)  4 O 2.18
Ti (0.3750, 0.3750, 0.3750)  4 O 1.85
Ti (0.6250, 0.6250, 0.6250)  4 O 1.85
O (0.0460, 0.6290, 0.5463)  1 Ti 1.85
O (0.2787, 0.5463, 0.6290)  1 Ti 1.85
O (0.3710, 0.9540, 0.7213)  1 Ti 1.85
O (0.4537, 0.7213, 0.9540)  1 Ti 1.85
O (0.5463, 0.2787, 0.0460)  1 Ti 1.85
O (0.6290, 0.0460, 0.2787)  1 Ti 1.85
O (0.7213, 0.4537, 0.3710)  1 Ti 1.85
O (0.9540, 0.3710, 0.4537)  1 Ti 1.85

# Cs3Pr2PbS6

A relaxed structure of Cs3Pr2PbS6 (PBE, Alexandria via LeMat-Bulk).

## Properties
- raw formation energy (kcal/mol of atoms) = -32.12
- E (eV per atom) = -4.78
- total magnetic moment (μB/cell) = 0.0

Cell lengths 7.4154, 7.4154, 8.4651 Å; angles 98.37, 98.37, 120.01 degrees
With the nearest neighbours (Å) after each atom.
Fractional coordinates of all 12 atoms:
Cs (0.0000, 0.0000, 0.0000)  6 S 3.51-3.54
Cs (0.3352, 0.6648, 0.0000)  6 S 3.52-3.53
Cs (0.6648, 0.3352, 0.0000)  6 S 3.52-3.53
Pr (0.1669, 0.8331, 0.5000)  6 S 2.90
Pr (0.8331, 0.1669, 0.5000)  6 S 2.90
Pb (0.5000, 0.5000, 0.5000)  6 S 2.93
S (0.1003, 0.4368, 0.3105)  2 Pr 2.90, 1 Pb 2.93
S (0.2264, 0.2264, 0.6891)  2 Pr 2.90, 1 Pb 2.93
S (0.4368, 0.1003, 0.3105)  2 Pr 2.90, 1 Pb 2.93
S (0.5632, 0.8997, 0.6895)  2 Pr 2.90, 1 Pb 2.93
S (0.7736, 0.7736, 0.3109)  2 Pr 2.90, 1 Pb 2.93
S (0.8997, 0.5632, 0.6895)  2 Pr 2.90, 1 Pb 2.93